A relaxed structure of LiLuRh2, computed with PBE.

Cell: 3.2197 3.2197 6.1145 Å, 90.00 90.00 90.00°
Last column: nearest neighbours and their distance in Å.
Atoms (fractional coordinates):
Li  0.0000  0.0000  0.0000  8 Rh 2.67
Lu  0.0000  0.0000  0.5000  8 Rh 2.82, 2 Li 3.06
Rh  0.5000  0.5000  0.2274  4 Li 2.67, 1 Rh 2.78, 4 Lu 2.82
Rh  0.5000  0.5000  0.7726  4 Li 2.67, 1 Rh 2.78, 4 Lu 2.82

Its size of the total moment is 0.0 μB/cell. For the total energy, the calculation gives -5.83 eV/atom. The calculation puts the formation energy at -547 meV per atom.